# PBE Hf2CoB, optimized geometry
# E above lowest polymorph: 0.000 eV/f.u.
# Space-group type: P6_3/mmc
data_Hf2CoB
_chemical_formula_sum 'Hf4 Co2 B2'
_symmetry_space_group_name_H-M 'P 1'
_symmetry_Int_Tables_number 1
_cell_length_a 3.349
_cell_length_b 3.349
_cell_length_c 12.884
_cell_angle_alpha 90.00
_cell_angle_beta 90.00
_cell_angle_gamma 120.00
loop_
_symmetry_equiv_pos_as_xyz
'x,y,z'
loop_
_atom_site_label
_atom_site_fract_x
_atom_site_fract_y
_atom_site_fract_z
Hf1 0.667 0.333 0.893
Hf2 0.333 0.667 0.107
B1 0.000 0.000 0.000
Co1 0.333 0.667 0.750
Co2 0.667 0.333 0.250
B2 0.000 0.000 0.500
Hf3 0.333 0.667 0.393
Hf4 0.667 0.333 0.607

---

# PBE HfCoB2, optimized geometry
# Space-group type: F-43m
data_HfCoB2
_chemical_formula_sum 'Hf1 Co1 B2'
_symmetry_space_group_name_H-M 'P 1'
_symmetry_Int_Tables_number 1
_cell_length_a 3.944
_cell_length_b 3.944
_cell_length_c 3.944
_cell_angle_alpha 60.00
_cell_angle_beta 60.00
_cell_angle_gamma 60.00
loop_
_symmetry_equiv_pos_as_xyz
'x,y,z'
loop_
_atom_site_label
_atom_site_fract_x
_atom_site_fract_y
_atom_site_fract_z
Hf1 0.500 0.500 0.500
B1 0.250 0.250 0.250
B2 0.000 0.000 0.000
Co1 0.750 0.750 0.750

---

# PBE HfCoBIr, optimized geometry
# E above lowest polymorph: 1.135 eV/f.u.
# Space-group type: F-43m
data_HfCoBIr
_chemical_formula_sum 'Hf1 Co1 B1 Ir1'
_symmetry_space_group_name_H-M 'P 1'
_symmetry_Int_Tables_number 1
_cell_length_a 4.284
_cell_length_b 4.284
_cell_length_c 4.284
_cell_angle_alpha 60.00
_cell_angle_beta 60.00
_cell_angle_gamma 60.00
loop_
_symmetry_equiv_pos_as_xyz
'x,y,z'
loop_
_atom_site_label
_atom_site_fract_x
_atom_site_fract_y
_atom_site_fract_z
Ir1 0.500 0.500 0.500
Hf1 0.250 0.250 0.250
B1 0.000 0.000 0.000
Co1 0.750 0.750 0.750

---

no.,VASP energy (eV/atom)
1,-8.582
2,-7.058
3,-7.882